Entry 1:
# K2LaRe (GGA-PBE, optimized geometry)
data_K2LaRe
_chemical_formula_sum 'K2 La1 Re1'
_symmetry_space_group_name_H-M 'P 4/m m m'
_symmetry_Int_Tables_number 123
_symmetry_space_group_name_Hall '-P 4 2'
_cell_length_a 2.9491
_cell_length_b 2.9491
_cell_length_c 13.3670
_cell_angle_alpha 90.00
_cell_angle_beta 90.00
_cell_angle_gamma 90.00
loop_
_atom_site_label
_atom_site_fract_x
_atom_site_fract_y
_atom_site_fract_z
K1 0.0000 0.0000 0.2055
La1 0.5000 0.5000 0.5000
Re1 0.5000 0.5000 0.0000
# ΔE to the lowest computed polymorph = 0.603 eV/atom
# formation enthalpy at 0 K = 1.318 eV/atom


Entry 2:
# K2LaRe (GGA-PBE, optimized geometry)
data_K2LaRe
_chemical_formula_sum 'K2 La1 Re1'
_symmetry_space_group_name_H-M 'P m m m'
_symmetry_Int_Tables_number 47
_cell_length_a 3.6381
_cell_length_b 4.9800
_cell_length_c 6.6784
_cell_angle_alpha 90.00
_cell_angle_beta 90.00
_cell_angle_gamma 90.00
loop_
_symmetry_equiv_pos_as_xyz
'x,y,z'
'-x,-y,-z'
'-x,-y,z'
'x,y,-z'
'x,-y,-z'
'-x,y,z'
'-x,y,-z'
'x,-y,z'
loop_
_atom_site_label
_atom_site_fract_x
_atom_site_fract_y
_atom_site_fract_z
K1 0.0000 0.0000 0.0000
K2 0.5000 0.5000 0.0000
La1 0.0000 0.5000 0.5000
Re1 0.5000 0.0000 0.5000
# ΔE to the lowest computed polymorph = 0.422 eV/atom
# formation enthalpy at 0 K = 1.136 eV/atom


Entry 3:
# K2LaRe (GGA-PBE, optimized geometry)
data_K2LaRe
_chemical_formula_sum 'K4 La2 Re2'
_symmetry_space_group_name_H-M 'I m m 2'
_symmetry_Int_Tables_number 44
_cell_length_a 4.4617
_cell_length_b 6.4953
_cell_length_c 10.7862
_cell_angle_alpha 90.00
_cell_angle_beta 90.00
_cell_angle_gamma 90.00
loop_
_symmetry_equiv_pos_as_xyz
'x,y,z'
'-x,-y,z'
'-x,y,z'
'x,-y,z'
'x+1/2,y+1/2,z+1/2'
'-x+1/2,-y+1/2,z+1/2'
'-x+1/2,y+1/2,z+1/2'
'x+1/2,-y+1/2,z+1/2'
loop_
_atom_site_label
_atom_site_fract_x
_atom_site_fract_y
_atom_site_fract_z
K1 0.0000 0.0000 0.0000
K2 0.0000 0.5000 0.1885
La1 0.0000 0.5000 0.8079
Re1 0.0000 0.0000 0.4173
# ΔE to the lowest computed polymorph = 0.267 eV/atom
# formation enthalpy at 0 K = 0.982 eV/atom